(1)
## SrDy2Se3 (PBE)

Data for a relaxed SrDy2Se3 crystal.

Calculated volume, Å³/cell: 155.00
Size of the total moment, μB per atom: 0.0010
SG: P-3m1, No. 164
Final energy, eV per atom: -5.40

```
6
Lattice="4.174 0.000 0.000 -2.087 3.615 0.000 0.000 0.000 10.271" Properties=species:S:1:pos:R:3 pbc="T T T"
Dy 2.087 1.205 3.604
Dy 0.000 2.410 6.667
Se 0.000 2.410 1.902
Se 0.000 0.000 5.135
Se 2.087 1.205 8.369
Sr 0.000 0.000 0.000
```

=====

(2)
## SrDySe2 (PBE)

Data for a relaxed SrDySe2 crystal.

Calculated volume, Å³/cell: 107.07
Size of the total moment, μB per atom: 0.0016
SG: P4/mmm, No. 123
Final energy, eV per atom: -5.14

```
4
Lattice="-0.820 4.137 -0.351 -1.008 0.149 4.108 5.688 1.242 1.350" Properties=species:S:1:pos:R:3 pbc="T T T"
Dy 0.000 0.000 0.000
Se -0.914 2.143 1.878
Se 2.844 0.621 0.675
Sr 1.930 2.764 2.554
```

=====

(3)
## Sr2DySe3 (PBE)

Data for a relaxed Sr2DySe3 crystal.

Calculated volume, Å³/cell: 168.63
Size of the total moment, μB per atom: 0.0008
SG: P-3m1, No. 164
Final energy, eV per atom: -5.01

```
6
Lattice="-2.004 2.251 3.026 -0.395 -4.251 -0.113 8.522 -0.960 6.359" Properties=species:S:1:pos:R:3 pbc="T T T"
Dy 4.261 -0.480 3.179
Se 0.000 0.000 0.000
Se 1.516 -0.252 4.206
Se 4.607 -2.708 5.066
Sr 0.545 -2.250 2.035
Sr 5.578 -0.710 7.237
```

=====

(4)
## Tb3DySe (PBE)

Data for a relaxed Tb3DySe crystal.

Calculated volume, Å³/cell: 309.68
Size of the total moment, μB per atom: 0.0181
SG: P-6c2, No. 188
Final energy, eV per atom: -4.81

```
10
Lattice="6.884 0.000 0.000 0.000 3.604 6.241 0.000 -3.604 6.241" Properties=species:S:1:pos:R:3 pbc="T T T"
Dy 0.000 0.000 4.160
Dy 3.442 0.000 4.160
Se 0.000 0.000 0.000
Se 3.442 0.000 0.000
Tb 1.721 1.390 6.903
Tb 5.163 1.923 7.826
Tb 5.163 -1.390 6.903
Tb 1.721 0.533 10.234
Tb 1.721 -1.923 7.826
Tb 5.163 -0.533 10.234
```

=====

(5)
## Tb6DySe8 (PBE)

Data for a relaxed Tb6DySe8 crystal.

Calculated volume, Å³/cell: 381.61
Size of the total moment, μB per atom: 0.0002
SG: Fm-3m, No. 225
Final energy, eV per atom: -5.87

```
15
Lattice="-3.531 -7.332 0.260 -8.084 -0.601 0.761 -4.500 -2.576 -6.277" Properties=species:S:1:pos:R:3 pbc="T T T"
Dy 0.000 0.000 0.000
Se -4.029 -2.627 -1.314
Se -5.817 -6.283 -1.198
Se -9.818 -6.580 -0.821
Se -8.070 -2.950 -0.950
Se -6.296 -3.928 -4.434
Se -8.044 -7.558 -4.306
Se -10.298 -4.226 -4.058
Se -12.086 -7.881 -3.942
Tb -1.765 -3.666 0.130
Tb -4.042 -0.300 0.381
Tb -5.807 -3.966 0.511
Tb -2.250 -1.288 -3.139
Tb -4.015 -4.954 -3.009
Tb -6.292 -1.588 -2.758
```

=====

(6)
## TbDy4Se5 (PBE)

Data for a relaxed TbDy4Se5 crystal.

Calculated volume, Å³/cell: 238.18
Size of the total moment, μB per atom: 0.0012
SG: I4/mmm, No. 139
Final energy, eV per atom: -5.80

```
10
Lattice="13.762 -4.219 2.998 10.726 -8.193 5.832 -12.245 4.538 -6.755" Properties=species:S:1:pos:R:3 pbc="T T T"
Dy 4.967 -2.518 1.791
Dy 9.840 -4.988 3.548
Dy 14.647 -7.424 5.281
Dy 19.521 -9.894 7.039
Se 2.483 -1.259 0.895
Se 7.395 -3.748 2.666
Se 12.244 -6.206 4.415
Se 17.093 -8.664 6.163
Se 22.004 -11.153 7.934
Tb 0.000 0.000 0.000
```

=====

(7)
## Tb2DySe3 (PBE)

Data for a relaxed Tb2DySe3 crystal.

Calculated volume, Å³/cell: 143.84
Size of the total moment, μB per atom: 0.0050
SG: P-3m1, No. 164
Final energy, eV per atom: -5.82

```
6
Lattice="4.069 0.000 0.000 -2.035 3.524 0.000 0.000 0.000 10.032" Properties=species:S:1:pos:R:3 pbc="T T T"
Dy 0.000 0.000 5.016
Se 0.000 0.000 0.000
Se 2.034 1.175 3.360
Se 0.000 2.349 6.672
Tb 0.000 2.349 1.672
Tb 2.034 1.175 8.359
```

=====

(8)
## Dy3ThSe6 (PBE)

Data for a relaxed Dy3ThSe6 crystal.

Calculated volume, Å³/cell: 534.66
Size of the total moment, μB per atom: 0.0012
SG: P2_1/m, No. 11
Final energy, eV per atom: -6.05

```
20
Lattice="11.584 0.000 0.000 0.000 4.093 0.000 -3.772 0.000 11.278" Properties=species:S:1:pos:R:3 pbc="T T T"
Dy 7.333 1.023 0.912
Dy 0.167 3.069 1.866
Dy 7.624 3.069 5.635
Dy 0.187 1.023 5.643
Dy 7.645 1.023 9.412
Dy 0.479 3.069 10.366
Se 10.128 1.023 0.701
Se 4.465 1.023 1.090
Se 7.074 3.069 2.841
Se 1.784 1.023 3.099
Se -1.237 3.069 4.318
Se 5.379 1.023 5.266
Se 2.433 3.069 6.012
Se 9.049 1.023 6.960
Se 6.028 3.069 8.178
Se 0.738 1.023 8.437
Se 3.346 3.069 10.188
Se -2.316 3.069 10.577
Th 4.107 3.069 3.419
Th 3.704 1.023 7.859
```

=====

(9)
## DyTmSe2 (PBE)

Data for a relaxed DyTmSe2 crystal.

Calculated volume, Å³/cell: 92.99
Size of the total moment, μB per atom: 0.0010
SG: P4/mmm, No. 123
Final energy, eV per atom: -5.71

```
4
Lattice="4.035 0.000 0.000 0.000 4.035 0.000 0.000 0.000 5.712" Properties=species:S:1:pos:R:3 pbc="T T T"
Dy 0.000 0.000 0.000
Se 2.017 2.017 0.000
Se 0.000 0.000 2.856
Tm 2.017 2.017 2.856
```

=====

(10)
## Dy4TmSe5 (PBE)

Data for a relaxed Dy4TmSe5 crystal.

Calculated volume, Å³/cell: 235.62
Size of the total moment, μB per atom: 0.0008
SG: I4/mmm, No. 139
Final energy, eV per atom: -5.76

```
10
Lattice="13.238 -6.199 1.307 13.401 -2.323 5.513 -14.401 2.335 -1.592" Properties=species:S:1:pos:R:3 pbc="T T T"
Dy 5.217 -1.669 1.336
Dy 10.597 -3.390 2.713
Dy 16.043 -5.132 4.107
Dy 21.422 -6.853 5.484
Se 2.592 -0.829 0.664
Se 7.925 -2.535 2.029
Se 13.320 -4.261 3.410
Se 18.714 -5.987 4.791
Se 24.047 -7.693 6.156
Tm 0.000 0.000 0.000
```

=====

(11)
## DyYSe2 (PBE)

Data for a relaxed DyYSe2 crystal.

Calculated volume, Å³/cell: 95.47
Size of the total moment, μB per atom: 0.0009
SG: P4/mmm, No. 123
Final energy, eV per atom: -6.26

```
4
Lattice="-3.005 -1.080 2.524 0.806 -3.925 -0.720 3.715 -0.045 4.404" Properties=species:S:1:pos:R:3 pbc="T T T"
Dy 0.000 0.000 0.000
Se -1.100 -2.502 0.902
Se 1.857 -0.022 2.202
Y 0.758 -2.525 3.104
```

=====

(12)
## DyYSe2 (PBE)

Data for a relaxed DyYSe2 crystal.

Calculated volume, Å³/cell: 95.48
Size of the total moment, μB per atom: 0.0009
SG: C2/m, No. 12
Final energy, eV per atom: -6.26

```
4
Lattice="-1.467 1.553 -3.473 -4.001 0.689 -0.378 2.667 5.363 3.680" Properties=species:S:1:pos:R:3 pbc="T T T"
Dy -2.734 1.121 -1.925
Se -0.701 1.894 -0.046
Se -2.100 5.711 -0.125
Y 1.333 2.681 1.840
```

=====

(13)
## DyYSe6 (PBE)

Data for a relaxed DyYSe6 crystal.

Calculated volume, Å³/cell: 197.16
Size of the total moment, μB per atom: 0.0015
SG: Amm2, No. 38
Final energy, eV per atom: -5.19

```
8
Lattice="3.917 0.000 0.000 0.000 1.959 12.848 0.000 -1.959 12.848" Properties=species:S:1:pos:R:3 pbc="T T T"
Dy 0.000 0.000 21.219
Se 0.000 0.000 2.107
Se 1.959 0.000 7.504
Se 0.000 0.000 10.740
Se 1.959 0.000 14.955
Se 0.000 0.000 18.196
Se 1.959 0.000 23.588
Y 1.959 0.000 4.478
```

=====

(14)
## Dy2YSe3 (PBE)

Data for a relaxed Dy2YSe3 crystal.

Calculated volume, Å³/cell: 142.85
Size of the total moment, μB per atom: 0.0002
SG: P-3m1, No. 164
Final energy, eV per atom: -6.11

```
6
Lattice="4.046 0.000 0.000 -2.023 3.504 0.000 0.000 0.000 10.077" Properties=species:S:1:pos:R:3 pbc="T T T"
Dy 2.023 1.168 3.359
Dy 0.000 2.336 6.718
Se 0.000 2.336 1.683
Se 0.000 0.000 5.039
Se 2.023 1.168 8.394
Y 0.000 0.000 0.000
```

=====

(15)
## DySi (PBE)

Data for a relaxed DySi crystal.

Calculated volume, Å³/cell: 67.93
Size of the total moment, μB per atom: 0.0242
SG: F-43m, No. 216
Final energy, eV per atom: -4.65

```
2
Lattice="0.000 3.239 3.239 3.239 0.000 3.239 3.239 3.239 0.000" Properties=species:S:1:pos:R:3 pbc="T T T"
Dy 0.000 0.000 0.000
Si 1.619 1.619 1.619
```

=====

(16)
## DySi2 (PBE)

Data for a relaxed DySi2 crystal.

Calculated volume, Å³/cell: 57.25
Size of the total moment, μB per atom: 0.0005
SG: P6/mmm, No. 191
Final energy, eV per atom: -5.67

```
3
Lattice="-2.496 3.237 0.216 -1.330 -3.691 1.164 1.242 0.712 3.678" Properties=species:S:1:pos:R:3 pbc="T T T"
Dy 0.000 0.000 0.000
Si -1.486 1.283 2.371
Si -1.098 -1.026 2.687
```

=====

(17)
## DySi (PBE)

Data for a relaxed DySi crystal.

Calculated volume, Å³/cell: 172.71
Size of the total moment, μB per atom: 0.0015
SG: Pnma, No. 62
Final energy, eV per atom: -5.84

```
8
Lattice="-3.066 -2.117 0.907 3.320 -4.609 0.463 1.158 1.602 7.652" Properties=species:S:1:pos:R:3 pbc="T T T"
Dy 3.079 -3.699 1.771
Dy 0.050 -2.227 3.078
Dy 1.235 0.466 5.259
Dy 1.526 -2.670 7.029
Si 1.303 -1.687 0.467
Si 1.920 -4.370 4.395
Si 2.684 -1.999 4.405
Si -0.018 -0.075 7.870
```

=====

(18)
## Dy4Si3 (PBE)

Data for a relaxed Dy4Si3 crystal.

Calculated volume, Å³/cell: 336.83
Size of the total moment, μB per atom: 0.0009
SG: I-43d, No. 220
Final energy, eV per atom: -5.67

```
14
Lattice="6.581 1.473 3.487 -2.249 -7.046 1.711 0.925 0.608 -7.511" Properties=species:S:1:pos:R:3 pbc="T T T"
Dy 3.043 -2.590 3.064
Dy -0.247 -3.327 1.320
Dy 3.414 0.817 0.742
Dy 1.927 -1.821 -0.848
Dy -0.962 -4.159 -2.672
Dy 0.163 -0.636 -3.527
Dy 3.876 1.121 -3.013
Dy 4.555 -4.304 -2.004
Si 5.311 -0.397 2.540
Si -0.914 -5.829 0.055
Si 2.773 -4.136 0.646
Si 4.670 -1.158 -1.437
Si 1.756 -3.396 -3.256
Si 2.173 0.019 -5.486
```

=====

(19)
## DySi (PBE)

Data for a relaxed DySi crystal.

Calculated volume, Å³/cell: 47.88
Size of the total moment, μB per atom: 0.0034
SG: P-6m2, No. 187
Final energy, eV per atom: -5.27

```
2
Lattice="-2.887 1.751 -1.391 -0.437 -2.306 2.798 0.607 3.118 2.665" Properties=species:S:1:pos:R:3 pbc="T T T"
Dy -1.615 2.737 2.004
Si -1.102 -0.174 2.068
```

=====

(20)
## DySi2 (PBE)

Data for a relaxed DySi2 crystal.

Calculated volume, Å³/cell: 106.61
Size of the total moment, μB per atom: 0.0002
SG: Fd-3m, No. 227
Final energy, eV per atom: -5.46

```
6
Lattice="3.126 1.378 4.082 -0.050 5.001 1.820 -2.146 1.082 4.749" Properties=species:S:1:pos:R:3 pbc="T T T"
Dy 0.000 0.000 0.000
Dy 0.232 1.865 2.663
Si 1.654 4.122 4.282
Si 0.606 2.163 5.746
Si -0.982 3.975 4.616
Si 0.581 4.663 6.657
```

=====

(21)
## Dy5Si3 (PBE)

Data for a relaxed Dy5Si3 crystal.

Calculated volume, Å³/cell: 393.15
Size of the total moment, μB per atom: 0.0000
SG: P6_3/mcm, No. 193
Final energy, eV per atom: -5.59

```
16
Lattice="-1.492 7.434 -3.714 -5.472 -3.070 5.650 3.156 2.966 4.668" Properties=species:S:1:pos:R:3 pbc="T T T"
Dy -2.819 3.933 -0.593
Dy -4.145 0.432 2.529
Dy -5.046 -0.518 5.913
Dy -2.036 7.428 -1.172
Dy -4.479 4.043 2.632
Dy -1.241 5.416 1.741
Dy -2.567 1.914 4.863
Dy 1.238 7.848 0.691
Dy -1.772 -0.098 7.775
Dy 0.672 3.287 3.972
Si -1.955 2.461 1.930
Si -0.115 5.247 -1.084
Si -2.527 -1.119 4.591
Si -1.853 4.869 4.674
Si -3.693 2.084 7.688
Si -1.281 8.449 2.013
```

=====

(22)
## DySi (PBE)

Data for a relaxed DySi crystal.

Calculated volume, Å³/cell: 48.83
Size of the total moment, μB per atom: 0.0002
SG: Fm-3m, No. 225
Final energy, eV per atom: -5.47

```
2
Lattice="0.000 2.901 2.901 2.901 0.000 2.901 2.901 2.901 0.000" Properties=species:S:1:pos:R:3 pbc="T T T"
Dy 0.000 0.000 0.000
Si 2.901 2.901 2.901
```

=====

(23)
## DySi2 (PBE)

Data for a relaxed DySi2 crystal.

Calculated volume, Å³/cell: 115.03
Size of the total moment, μB per atom: 0.0028
SG: Imma, No. 74
Final energy, eV per atom: -5.69

```
6
Lattice="-1.970 1.983 7.361 1.970 -1.983 7.361 1.970 1.983 -7.361" Properties=species:S:1:pos:R:3 pbc="T T T"
Dy 0.000 0.991 1.837
Dy 1.970 0.991 5.525
Si 0.000 0.991 7.994
Si 0.000 0.991 10.400
Si 1.970 0.991 -3.039
Si 1.970 0.991 -0.633
```

=====

(24)
## DySi (PBE)

Data for a relaxed DySi crystal.

Calculated volume, Å³/cell: 48.72
Size of the total moment, μB per atom: 0.0009
SG: R-3m, No. 166
Final energy, eV per atom: -5.46

```
2
Lattice="-0.612 1.640 3.887 2.337 -0.953 3.435 2.667 2.694 1.948" Properties=species:S:1:pos:R:3 pbc="T T T"
Dy 0.000 0.000 0.000
Si 2.196 1.690 4.635
```

=====

(25)
## DySi2 (PBE)

Data for a relaxed DySi2 crystal.

Calculated volume, Å³/cell: 592.02
Size of the total moment, μB per atom: 1.0004
SG: Fd-3m, No. 227
Final energy, eV per atom: -3.34

```
6
Lattice="5.512 4.915 5.856 9.261 0.607 -1.641 3.762 8.171 -2.813" Properties=species:S:1:pos:R:3 pbc="T T T"
Dy 4.634 3.423 0.350
Dy 9.267 6.846 0.701
Si 6.950 5.135 0.526
Si 9.706 7.592 3.454
Si 11.581 5.438 -0.295
Si 8.831 9.220 -0.881
```

=====

(26)
## SmDySi (PBE)

Data for a relaxed SmDySi crystal.

Calculated volume, Å³/cell: 83.20
Excess energy over the best structure of this formula in the dataset, eV/atom: 0.000
Size of the total moment, μB per atom: 0.0008
SG: F-43m, No. 216
Final energy, eV per atom: -5.37

```
3
Lattice="0.000 3.465 3.465 3.465 0.000 3.465 3.465 3.465 0.000" Properties=species:S:1:pos:R:3 pbc="T T T"
Dy 1.733 1.733 1.733
Si 0.000 0.000 0.000
Sm 5.197 5.197 5.197
```